No. 1
CuReSN2: optimized geometry, PBE.

The structure in POSCAR format:
```
CuReSN2
1.0
-1.1290 2.7465 -2.3307
0.5957 -2.2665 -2.9594
-4.8467 -1.7094 0.3335
Re Cu N S
1 1 2 1
direct
0.0000 0.0000 0.0000
0.5000 0.5000 0.5000
0.5000 0.0000 0.0000
0.0000 0.5000 0.0000
0.0000 0.0000 0.5000
```

Calculated values
Formation energy (no corrections)   0.537 eV/atom
Calculated total energy   -6.927 eV per atom
Density   7.010 g cm⁻³

---

No. 2
CdPtW2: optimized geometry, PBE.

The structure in POSCAR format:
```
CdPtW2
1.0
-3.2426 0.4377 4.3200
0.3740 -3.9582 3.6826
2.5917 3.9800 -2.6099
Pt W Cd
1 2 1
direct
0.2341 0.7341 0.5000
0.7766 0.2766 0.5000
0.9923 0.9923 0.0000
0.4969 0.4969 0.0000
```

Calculated values
Formation enthalpy at 0 K   0.382 eV/atom
Calculated total energy   -7.834 eV per atom
Density   16.160 g cm⁻³